Computed, not measured: a PBEsol-optimized structure of TaOs2Br at the SCAN level of DFT.

Cell lengths 4.4678, 4.4678, 4.4678 Å; angles 60.00, 60.00, 60.00 degrees
Closest atoms and distances in Å follow each position.
Positions (direct):
Ta 0.2500 0.2500 0.2500  4 Br 2.74, 4 Os 2.74
Os 0.7500 0.7500 0.7500  4 Br 2.74, 4 Os 2.74
Os 0.0000 0.0000 0.0000  4 Ta 2.74, 4 Os 2.74
Br 0.5000 0.5000 0.5000  4 Os 2.74, 4 Ta 2.74

Computed properties:
raw formation energy = 1.053 eV/atom
space group = F-43m
raw total energy = -56.40 eV/atom